This record from the Alexandria database describes an optimized crystal structure of Sr3MgTe. The functional is PBEsol.

Computed properties:
total magnetic moment = 0.0 μB per formula unit
formation energy without anion corrections = -0.019 eV/atom

Cell lengths 6.139, 6.139, 6.139 Å; angles 90.00, 90.00, 90.00 degrees
Positions (direct):
Sr1 0.000 0.500 0.000
Mg1 0.000 0.000 0.000
Sr2 0.500 0.000 0.000
Sr3 0.000 0.000 0.500
Te1 0.500 0.500 0.500

This record from the Alexandria database describes an optimized crystal structure of TlPbSe2. The functional is PBEsol.

Computed properties:
total magnetic moment = 0.0 μB per formula unit
formation energy without anion corrections = -0.230 eV/atom

Cell lengths 3.729, 3.721, 7.307 Å; angles 94.16, 90.00, 90.00 degrees
Positions (direct):
Se1 0.000 0.937 0.760
Tl1 0.500 0.500 0.500
Pb1 0.500 0.500 0.000
Se2 0.000 0.063 0.240

This record from the Alexandria database describes an optimized crystal structure of Sr2TaAlO6. The functional is PBEsol.

Computed properties:
total magnetic moment = 0.0 μB per formula unit
formation energy without anion corrections = -3.080 eV/atom

Cell lengths 3.923, 3.923, 7.795 Å; angles 90.00, 90.00, 90.00 degrees
Positions (direct):
Al1 0.500 0.500 0.500
Ta1 0.500 0.500 0.000
O1 0.500 0.500 0.251
O2 0.000 0.500 0.000
O3 0.500 0.000 0.500
O4 0.500 0.500 0.749
O5 0.000 0.500 0.500
O6 0.500 0.000 0.000
Sr1 0.000 0.000 0.284
Sr2 0.000 0.000 0.716

This record from the Alexandria database describes an optimized crystal structure of ZrAlSi2. The functional is PBEsol.

Computed properties:
total magnetic moment = 0.0 μB per formula unit
formation energy without anion corrections = -0.382 eV/atom

Cell lengths 3.657, 5.528, 6.917 Å; angles 90.00, 90.00, 109.32 degrees
Positions (direct):
Zr1 0.538 0.076 0.750
Si1 0.888 0.776 0.952
Si2 0.112 0.224 0.452
Zr2 0.462 0.924 0.250
Si3 0.112 0.224 0.048
Al1 0.736 0.472 0.250
Si4 0.888 0.776 0.548
Al2 0.264 0.528 0.750

This record from the Alexandria database describes an optimized crystal structure of FeAs2RuSe. The functional is PBEsol.

Computed properties:
total magnetic moment = 0.0 μB per formula unit
formation energy without anion corrections = 0.804 eV/atom

Cell lengths 4.357, 4.357, 4.545 Å; angles 90.00, 90.00, 90.00 degrees
Positions (direct):
Se1 0.000 0.000 0.500
Ru1 0.500 0.500 0.500
As1 0.500 0.000 0.000
As2 0.000 0.500 0.000
Fe1 0.000 0.000 0.000

This record from the Alexandria database describes an optimized crystal structure of TiCrNiSb2. The functional is PBEsol.

Computed properties:
total magnetic moment = 2.1 μB per formula unit
formation energy without anion corrections = 0.756 eV/atom

Cell lengths 4.308, 4.852, 4.852 Å; angles 90.00, 90.00, 90.00 degrees
Site moments in Bohr magnetons follow the coordinates.
Positions (direct):
Cr1 0.000 0.000 0.000  0.79
Ti1 0.500 0.500 0.500  1.25
Ni1 0.500 0.000 0.000  -0.17
Sb1 0.000 0.500 0.000  -0.04
Sb2 0.000 0.000 0.500  -0.04